# 1
PBE-GGA Ce11Ni4Hg9, relaxed; density of states at the Fermi level = 2.463 states/eV per atom; space-group type = No. 65; E = -99.542 eV per formula unit; volume = 24.245 A^3/atom; energy relative to the elements = -351 meV per atom; magnetic moment = 0.0275 μB per atom
1.0
-1.1851 -0.0867 -3.4189
-6.2381 -11.2546 2.4477
-7.8373 10.2033 2.4579
Ce Ni Hg
11 4 9
direct
0.0000 0.5734 0.9265
0.0000 0.4266 0.0735
0.0000 0.9265 0.5734
0.0000 0.0735 0.4266
0.0000 0.6279 0.3721
0.0000 0.3721 0.6279
0.0000 0.8477 0.1523
0.0000 0.1523 0.8477
0.0000 0.0000 0.0000
0.0000 0.6861 0.6861
0.0000 0.3139 0.3139
0.5000 0.5471 0.7504
0.5000 0.4529 0.2496
0.5000 0.7504 0.5471
0.5000 0.2496 0.4529
0.5000 0.6396 0.1604
0.5000 0.3604 0.8396
0.5000 0.1604 0.6396
0.5000 0.8396 0.3604
0.5000 0.7741 0.9181
0.5000 0.2259 0.0819
0.5000 0.9181 0.7741
0.5000 0.0819 0.2259
0.5000 0.5000 0.5000


# 2
PBE-GGA Ce2Ni9Hg, relaxed; density of states at the Fermi level = 1.172 states/eV per atom; space-group type = No. 166; E = -66.654 eV per formula unit; volume = 14.255 A^3/atom; energy relative to the elements = -204 meV per atom; magnetic moment = 0.0003 μB per atom
1.0
4.9074 0.0000 0.0000
2.4537 4.2499 0.0000
2.4537 1.4166 8.2023
Ce Ni Hg
2 9 1
direct
0.8659 0.8659 0.4023
0.1341 0.1341 0.5977
0.6672 0.6672 0.9983
0.3328 0.3328 0.0017
0.5000 0.5000 0.5000
0.4169 0.4169 0.2479
0.9182 0.4169 0.2479
0.4169 0.9182 0.2479
0.5831 0.5831 0.7521
0.5831 0.0818 0.7521
0.0818 0.5831 0.7521
0.0000 0.0000 0.0000


# 3
PBE-GGA Ce2NiHg, relaxed; density of states at the Fermi level = 1.859 states/eV per atom; space-group type = No. 123; E = -18.522 eV per formula unit; volume = 22.362 A^3/atom; energy relative to the elements = -143 meV per atom; magnetic moment = 0.0001 μB per atom; distance to the lowest polymorph of the same formula = 137.7 meV per atom
1.0
4.3895 0.0000 0.0000
0.0000 4.5142 0.0000
0.0000 0.0000 4.5142
Ni Hg Ce
1 1 2
direct
0.5000 0.0000 0.0000
0.5000 0.5000 0.5000
0.0000 0.0000 0.5000
0.0000 0.5000 0.0000


# 4
PBE-GGA CeNiHg, relaxed; density of states at the Fermi level = 1.308 states/eV per atom; space-group type = No. 11; E = -12.837 eV per formula unit; volume = 20.329 A^3/atom; energy relative to the elements = -273 meV per atom; magnetic moment = 0.0420 μB per atom; distance to the lowest polymorph of the same formula = 74.1 meV per atom
1.0
4.7546 0.0000 -0.5171
0.0000 4.6998 0.0000
-1.7870 0.0000 5.6529
Ni Hg Ce
2 2 2
direct
0.7784 0.7500 0.0552
0.2216 0.2500 0.9448
0.6037 0.2500 0.7082
0.3963 0.7500 0.2918
0.8954 0.2500 0.2908
0.1046 0.7500 0.7092


# 5
PBE-GGA CeNi5Hg, relaxed; density of states at the Fermi level = 1.042 states/eV per atom; space-group type = No. 62; E = -36.728 eV per formula unit; volume = 14.672 A^3/atom; energy relative to the elements = -226 meV per atom; magnetic moment = 0.0126 μB per atom
1.0
-0.2393 1.5696 -4.5900
7.6377 -2.5078 -1.2557
-3.5466 -9.3013 -2.9958
Ce Ni Hg
4 20 4
direct
0.2500 0.2543 0.9390
0.7500 0.2457 0.4390
0.2500 0.7543 0.5610
0.7500 0.7457 0.0610
0.2500 0.5816 0.0175
0.7500 0.9184 0.5175
0.2500 0.0816 0.4825
0.7500 0.4184 0.9825
0.7500 0.3147 0.7619
0.2500 0.1853 0.2619
0.7500 0.8147 0.7381
0.2500 0.6853 0.2381
0.2500 0.9491 0.1105
0.7500 0.5509 0.6105
0.2500 0.4491 0.3895
0.7500 0.0509 0.8895
0.0000 0.4290 0.1873
0.0000 0.0710 0.6873
0.5000 0.9290 0.3127
0.5000 0.5710 0.8127
0.0000 0.5710 0.8127
0.0000 0.9290 0.3127
0.5000 0.0710 0.6873
0.5000 0.4290 0.1873
0.2500 0.8655 0.8650
0.7500 0.6345 0.3650
0.2500 0.3655 0.6350
0.7500 0.1345 0.1350


# 6
PBE-GGA CeNiHgPd, relaxed; density of states at the Fermi level = 1.217 states/eV per atom; space-group type = No. 216; E = -18.649 eV per formula unit; volume = 19.362 A^3/atom; energy relative to the elements = -360 meV per atom; magnetic moment = 0.1197 μB per atom
1.0
-3.9518 2.6763 -0.3357
-4.2139 -1.7676 1.4180
-2.0910 1.6859 3.9595
Ni Pd Hg Ce
1 1 1 1
direct
0.2500 0.2500 0.2500
0.7500 0.7500 0.7500
0.5000 0.5000 0.5000
0.0000 0.0000 0.0000


# 7
PBE-GGA CeNiHgPt, relaxed; density of states at the Fermi level = 0.988 states/eV per atom; space-group type = No. 216; E = -19.813 eV per formula unit; volume = 19.448 A^3/atom; energy relative to the elements = -439 meV per atom; magnetic moment = 0.0010 μB per atom
1.0
4.7916 0.0000 0.0000
2.3958 4.1497 0.0000
2.3958 1.3832 3.9124
Ni Ce Hg Pt
1 1 1 1
direct
0.7500 0.7500 0.7500
0.0000 0.0000 0.0000
0.5000 0.5000 0.5000
0.2500 0.2500 0.2500


# 8
PBE-GGA CeScNiHg, relaxed; density of states at the Fermi level = 1.993 states/eV per atom; space-group type = No. 216; E = -19.180 eV per formula unit; volume = 21.923 A^3/atom; energy relative to the elements = -208 meV per atom; magnetic moment = 0.1387 μB per atom
1.0
4.9869 0.0000 0.0000
2.4934 4.3187 0.0000
2.4934 1.4396 4.0717
Sc Ni Hg Ce
1 1 1 1
direct
0.5000 0.5000 0.5000
0.2500 0.2500 0.2500
0.7500 0.7500 0.7500
0.0000 0.0000 0.0000